This record from Alexandria via LeMat-Bulk describes a relaxed HgPPd5 crystal. The functional is GGA-PBEsol.

a b c (Å): 3.9195 3.9195 6.9464
angles (deg): 90.00 90.00 90.00
With the nearest neighbours (Å) after each atom.
Positions (direct):
1 Hg 0.0000 0.0000 0.0000  12 Pd 2.77-2.87
2 P 0.5000 0.5000 0.5000  8 Pd 2.40
3 Pd 0.0000 0.5000 0.3018  2 P 2.40
4 Pd 0.0000 0.5000 0.6982  2 P 2.40
5 Pd 0.5000 0.0000 0.3018  2 P 2.40
6 Pd 0.5000 0.0000 0.6982  2 P 2.40
7 Pd 0.5000 0.5000 0.0000  4 Hg 2.77, 8 Pd 2.87

E_tot (eV/atom): -5.58
Formation energy (eV per atom): -0.41